Here is crystalline Ni2MoIr at its relaxed geometry from Alexandria. Energies are from PBE-GGA. Values from VASP.

```
&SYSTEM
  ibrav = 0, nat = 4, ntyp = 3
/
ATOMIC_SPECIES
Ni 58.69 Ni.upf
Mo 95.94 Mo.upf
Ir 192.22 Ir.upf
CELL_PARAMETERS angstrom
1.333 0.770 8.629
-1.333 0.770 8.629
0.000 -1.540 8.629
ATOMIC_POSITIONS angstrom
Ni 0.000 0.000 6.484
Ni 0.000 0.000 19.402
Mo 0.000 0.000 12.943
Ir 0.000 0.000 0.000
```

Properties
For the energy above the lowest structure with this stoichiometry, the calculation gives 28.16 kJ/mol of atoms. The calculation puts the density of states at the Fermi level at 5.34 states/eV/f.u. As for the magnetic moment: 1.11 Bohr magnetons per cell. For the formation energy, the calculation gives 0.098 eV/atom.